Version w
# Rb2Hf2In

A relaxed Rb2Hf2In crystal (PBE, Alexandria).

Summary:
The total magnetization comes out at 0.0 Bohr magnetons per cell. The value obtained for the density of states at the Fermi level is 11.01 states/eV/cell.

abc: 11.132 11.132 3.053
angles: 90.00 90.00 90.00
Atoms (fractional coordinates):
In  0.000  0.000  0.000
In  0.500  0.500  0.000
Rb  0.382  0.882  0.000
Rb  0.882  0.618  0.000
Rb  0.618  0.118  0.000
Rb  0.118  0.382  0.000
Hf  0.684  0.816  0.500
Hf  0.316  0.184  0.500
Hf  0.184  0.684  0.500
Hf  0.816  0.316  0.500

Version x
# Rb2Hf2In

A relaxed Rb2Hf2In crystal (PBE, Alexandria).

Summary:
The total magnetization comes out at 0.0 Bohr magnetons per cell. The value obtained for the density of states at the Fermi level is 5.75 states/eV/cell.

abc: 3.950 3.950 13.262
angles: 81.44 81.44 90.00
Atoms (fractional coordinates):
Rb  0.389  0.389  0.221
Rb  0.611  0.611  0.779
Hf  0.250  0.750  0.500
Hf  0.750  0.250  0.500
In  0.000  0.000  0.000

version w is the least stable structure shown above.